A relaxed structure of LaTbHo2Er. Source: the Alexandria database, functional PBE.

a = 5.5757 Å, b = 8.5900 Å, c = 7.1808 Å
α = 90.02°, β = 90.00°, γ = 90.00°
Fractional coordinates of all 10 atoms:
La1 0.0000 0.0000 0.0000
La2 0.0000 0.0000 0.5000
Tb1 0.5000 0.0000 0.2500
Tb2 0.5000 0.0000 0.7500
Ho1 0.4999 0.6787 0.9999
Ho2 0.4999 0.3213 0.5001
Ho3 0.5001 0.6787 0.4999
Ho4 0.5001 0.3213 0.0001
Er1 0.0000 0.5000 0.7500
Er2 0.0000 0.5000 0.2500

M_tot	0.00	Bohr magnetons per cell
symmetry	Pmmm (47)
energy relative to the elements	278	meV/atom
uncorrected energy	-43.8	eV for the cell shown